No. 1
The following is a DFT calculation (GGA-PBE) of a relaxed structure of YBe2Pt.

calculated volume	61.26	Å³ per cell
ΔH_f (0 K)	-422	meV per atom
energy above the lowest structure with this stoichiometry	249	meV/atom

Unit cell a=3.6158 b=3.2763 c=5.4219 alpha=72.51 beta=90.00 gamma=90.00
Closest atoms and distances in Å follow each position.
Positions (direct):
Be 0.5000 0.0577 0.2598  2 Be 2.07
Be 0.0000 0.1544 0.0659  2 Be 2.07, 2 Pt 2.31
Y 0.5000 0.7899 0.7934  7 Be 2.76-2.92
Pt 0.0000 0.4980 0.3809  6 Be 2.31-2.52

No. 2
The following is a DFT calculation (GGA-PBE) of a relaxed structure of PuPaOsPd.

calculated volume	82.82	Å³ per cell
ΔH_f (0 K)	-267	meV per atom
energy above the lowest structure with this stoichiometry	71	meV/atom

Unit cell a=4.8926 b=4.8926 c=4.8926 alpha=60.00 beta=60.00 gamma=60.00
Closest atoms and distances in Å follow each position.
Positions (direct):
Pu 0.2500 0.2500 0.2500  4 Os 3.00, 4 Pd 3.00
Pa 0.7500 0.7500 0.7500  4 Os 3.00, 4 Pd 3.00
Os 0.0000 0.0000 0.0000  4 Pa 3.00, 4 Pu 3.00
Pd 0.5000 0.5000 0.5000  4 Pa 3.00, 4 Pu 3.00

No. 3
The following is a DFT calculation (GGA-PBE) of a relaxed structure of LaAlSi3.

calculated volume	170.15	Å³ per cell
energy	-17.98	eV per cell

Unit cell a=5.5413 b=5.5413 c=5.5413 alpha=90.00 beta=90.00 gamma=90.00
Closest atoms and distances in Å follow each position.
Positions (direct):
Al 0.5000 0.5000 0.5000  12 Si 3.92
Si 0.0000 0.5000 0.0000  2 La 2.77
Si 0.5000 0.0000 0.0000  2 La 2.77
Si 0.0000 0.0000 0.5000  2 La 2.77
La 0.0000 0.0000 0.0000  6 Si 2.77

No. 4
The following is a DFT calculation (GGA-PBE) of a relaxed structure of Sm2BrCl.

calculated volume	101.85	Å³ per cell
energy above the lowest structure with this stoichiometry	14	meV/atom

Unit cell a=3.5939 b=3.5939 c=9.3391 alpha=78.91 beta=78.91 gamma=60.00
Closest atoms and distances in Å follow each position.
Positions (direct):
Sm 0.7471 0.7471 0.7588  3 Cl 3.02, 3 Br 3.14
Sm 0.2529 0.2529 0.2412  3 Cl 3.02, 3 Br 3.14
Br 0.5000 0.5000 0.5000  6 Sm 3.14
Cl 0.0000 0.0000 0.0000  6 Sm 3.02

No. 5
The following is a DFT calculation (GGA-PBE) of a relaxed structure of AcLaGaIr.

calculated volume	109.25	Å³ per cell
ΔH_f (0 K)	-601	meV per atom
energy above the lowest structure with this stoichiometry	0	meV/atom

Unit cell a=4.5271 b=4.4001 c=5.9331 alpha=90.00 beta=112.43 gamma=90.00
Closest atoms and distances in Å follow each position.
Positions (direct):
Ac 0.1472 0.0000 0.2944  3 Ir 3.09-3.29, 4 Ga 3.30
Ir 0.4290 0.0000 0.8581  2 Ga 2.63
Ga 0.5601 0.5000 0.1203  2 Ir 2.63
La 0.8636 0.5000 0.7273  3 Ga 3.13-3.33, 4 Ir 3.24